An optimized crystal structure of TbBiPb2. Source: Alexandria via LeMat-Bulk, functional PBE.

The total energy comes out at -15.3 eV/f.u. As for the calculated formation energy: 0.147 eV per atom. For the magnetic moment, the calculation gives 0.000 μB/atom.

It has space group R-3m (No. 166, hexagonal axes), with a = 3.5121 Å, b = 3.5121 Å, c = 36.7048 Å, α = 90.00°, β = 90.00° and γ = 120.00°. The distinct sites, in fractional coordinates, are Tb at (0.0000, 0.0000, 0.0000), Bi at (0.0000, 0.0000, 0.5000) and Pb at (0.0000, 0.0000, 0.0867).